Here is a geometry-optimized LaTmSc2Pt2 structure from the Alexandria database. Energies are from PBE-GGA.

abc: 4.7808 4.7808 7.0624
angles: 90.00 90.00 120.00
Closest atoms and distances in Å follow each position.
Space group P-3m1 (No. 164)
Inequivalent atoms, fractional coordinates:
La 0.0000 0.0000 0.0000 [1 per cell]  6 Pt 3.40, 6 Sc 3.48, 2 Tm 3.53
Tm 0.0000 0.0000 0.5000 [1 per cell]  6 Sc 3.10, 6 Pt 3.16
Sc 0.3333 0.6667 0.7010 [2 per cell]  4 Pt 2.76-2.96
Pt 0.3333 0.6667 0.2818 [2 per cell]  4 Sc 2.76-2.96

Summary:
The formation energy from the elements comes out at -0.780 eV per atom. The electronic total energy is -6.47 eV per atom. For the density of states at the Fermi level, the calculation gives 8.55 states/eV per cell.